Entry 1:
{"formula": "SrTl3Pb3", "functional": "GGA-PBE", "state": "optimized geometry", "total_energy_ev_per_atom": -2.405, "lattice_angstrom": [[0.000, 7.517, 7.517], [7.517, 0.000, 7.517], [7.517, 7.517, 0.000]], "species": ["Sr", "Sr", "Tl", "Tl", "Tl", "Tl", "Tl", "Tl", "Pb", "Pb", "Pb", "Pb", "Pb", "Pb"], "frac_coords": [[0.250, 0.250, 0.250], [0.750, 0.750, 0.750], [0.151, 0.151, 0.849], [0.151, 0.849, 0.151], [0.151, 0.849, 0.849], [0.849, 0.151, 0.151], [0.849, 0.151, 0.849], [0.849, 0.849, 0.151], [0.351, 0.351, 0.649], [0.351, 0.649, 0.351], [0.351, 0.649, 0.649], [0.649, 0.351, 0.351], [0.649, 0.351, 0.649], [0.649, 0.649, 0.351]]}


Entry 2:
{"formula": "Ta2V3Cu", "functional": "GGA-PBE", "state": "optimized geometry", "total_energy_ev_per_atom": -9.220, "lattice_angstrom": [[4.946, 0.000, 0.000], [-2.473, 4.284, 0.000], [0.000, 0.000, 8.392]], "species": ["Ta", "Ta", "Ta", "Ta", "V", "V", "V", "V", "V", "V", "Cu", "Cu"], "frac_coords": [[0.333, 0.667, 0.059], [0.333, 0.667, 0.441], [0.667, 0.333, 0.559], [0.667, 0.333, 0.941], [0.173, 0.346, 0.750], [0.173, 0.827, 0.750], [0.346, 0.173, 0.250], [0.654, 0.827, 0.750], [0.827, 0.173, 0.250], [0.827, 0.654, 0.250], [0.000, 0.000, 0.000], [0.000, 0.000, 0.500]]}


Entry 3:
{"formula": "CsSn2BS6", "functional": "GGA-PBE", "state": "optimized geometry", "formation_energy_uncorrected_mev_per_atom": -424, "lattice_angstrom": [[6.441, -7.072, 0.000], [6.441, 7.072, 0.000], [-3.638, 0.000, 6.316]], "species": ["Cs", "Cs", "Sn", "Sn", "Sn", "Sn", "B", "B", "S", "S", "S", "S", "S", "S", "S", "S", "S", "S", "S", "S"], "frac_coords": [[0.106, 0.894, 0.750], [0.894, 0.106, 0.250], [0.233, 0.413, 0.916], [0.413, 0.233, 0.416], [0.587, 0.767, 0.584], [0.767, 0.587, 0.084], [0.232, 0.768, 0.250], [0.768, 0.232, 0.750], [0.007, 0.750, 0.143], [0.250, 0.993, 0.357], [0.260, 0.386, 0.577], [0.304, 0.692, 0.033], [0.308, 0.696, 0.467], [0.386, 0.260, 0.077], [0.614, 0.740, 0.923], [0.692, 0.304, 0.533], [0.696, 0.308, 0.967], [0.740, 0.614, 0.423], [0.750, 0.007, 0.643], [0.993, 0.250, 0.857]]}


Entry 4:
{"formula": "GeBSe3", "functional": "GGA-PBE", "state": "optimized geometry", "formation_energy_uncorrected_mev_per_atom": 590, "lattice_angstrom": [[4.522, 0.000, 0.000], [0.000, 4.522, 0.000], [0.000, 0.000, 4.522]], "species": ["Ge", "B", "Se", "Se", "Se"], "frac_coords": [[0.000, 0.000, 0.000], [0.500, 0.500, 0.500], [0.000, 0.500, 0.500], [0.500, 0.000, 0.500], [0.500, 0.500, 0.000]]}


Entry 5:
{"formula": "MoOs4Se", "functional": "GGA-PBE", "state": "optimized geometry", "formation_energy_uncorrected_mev_per_atom": 965, "lattice_angstrom": [[0.000, 3.656, 3.656], [3.656, 0.000, 3.656], [3.656, 3.656, 0.000]], "species": ["Mo", "Os", "Os", "Os", "Os", "Se"], "frac_coords": [[0.000, 0.000, 0.000], [0.375, 0.375, 0.375], [0.375, 0.375, 0.876], [0.375, 0.876, 0.375], [0.876, 0.375, 0.375], [0.750, 0.750, 0.750]]}


Entry 6:
{"formula": "HoSc2Al2", "functional": "GGA-PBE", "state": "optimized geometry", "total_energy_ev_per_atom": -5.287, "lattice_angstrom": [[3.461, 0.000, 0.000], [0.000, 4.965, 0.000], [-1.731, 0.000, 12.704]], "species": ["Ho", "Ho", "Sc", "Sc", "Sc", "Sc", "Al", "Al", "Al", "Al"], "frac_coords": [[0.147, 0.250, 0.294], [0.853, 0.750, 0.706], [0.049, 0.750, 0.097], [0.236, 0.750, 0.472], [0.764, 0.250, 0.528], [0.951, 0.250, 0.903], [0.357, 0.250, 0.714], [0.454, 0.750, 0.909], [0.546, 0.250, 0.091], [0.643, 0.750, 0.286]]}


Entry 7:
{"formula": "AlHg2F", "functional": "GGA-PBE", "state": "optimized geometry", "formation_energy_uncorrected_mev_per_atom": -412, "lattice_angstrom": [[0.000, 3.398, 3.398], [3.398, 0.000, 3.398], [3.398, 3.398, 0.000]], "species": ["Al", "Hg", "Hg", "F"], "frac_coords": [[0.000, 0.000, 0.000], [0.250, 0.250, 0.250], [0.750, 0.750, 0.750], [0.500, 0.500, 0.500]]}


Entry 8:
{"formula": "YNi2Pd", "functional": "GGA-PBE", "state": "optimized geometry", "total_energy_ev_per_atom": -6.196, "lattice_angstrom": [[2.071, 1.196, 4.608], [-2.071, 1.196, 4.608], [0.000, -2.392, 4.608]], "species": ["Y", "Ni", "Ni", "Pd"], "frac_coords": [[0.000, 0.000, 0.000], [0.204, 0.204, 0.204], [0.533, 0.533, 0.533], [0.791, 0.791, 0.791]]}


Entry 9:
{"formula": "Ce2Ga2Ge4Pt", "functional": "GGA-PBE", "state": "optimized geometry", "total_energy_ev_per_atom": -5.280, "lattice_angstrom": [[-3.235, 3.235, 4.301], [3.235, -3.235, 4.301], [3.235, 3.235, -4.301]], "species": ["Ce", "Ce", "Ga", "Ga", "Ge", "Ge", "Ge", "Ge", "Pt"], "frac_coords": [[0.250, 0.750, 0.500], [0.750, 0.250, 0.500], [0.208, 0.208, 0.000], [0.792, 0.792, 0.000], [0.221, 0.221, 0.442], [0.221, 0.779, 0.000], [0.779, 0.221, 0.000], [0.779, 0.779, 0.558], [0.500, 0.500, 0.000]]}


Entry 10:
{"formula": "DyEr3Tm2", "functional": "GGA-PBE", "state": "optimized geometry", "total_energy_ev_per_atom": -4.514, "lattice_angstrom": [[8.569, -3.498, 0.000], [8.569, 3.498, 0.000], [-0.002, 0.000, 6.054]], "species": ["Dy", "Dy", "Er", "Er", "Er", "Er", "Er", "Er", "Tm", "Tm", "Tm", "Tm"], "frac_coords": [[0.125, 0.875, 0.750], [0.875, 0.125, 0.250], [0.042, 0.292, 0.916], [0.292, 0.042, 0.416], [0.375, 0.625, 0.250], [0.625, 0.375, 0.750], [0.708, 0.958, 0.584], [0.958, 0.708, 0.084], [0.208, 0.458, 0.583], [0.458, 0.208, 0.083], [0.542, 0.792, 0.917], [0.792, 0.542, 0.417]]}


Entry 11:
{"formula": "La4Pm8Tm", "functional": "GGA-PBE", "state": "optimized geometry", "total_energy_ev_per_atom": -4.607, "lattice_angstrom": [[3.765, 2.174, 9.425], [-3.765, 2.174, 9.425], [0.000, -4.347, 9.425]], "species": ["La", "La", "La", "La", "Pm", "Pm", "Pm", "Pm", "Pm", "Pm", "Pm", "Pm", "Tm"], "frac_coords": [[0.000, 0.000, 0.000], [0.000, 0.500, 0.500], [0.500, 0.000, 0.500], [0.500, 0.500, 0.000], [0.194, 0.750, 0.750], [0.214, 0.214, 0.214], [0.250, 0.250, 0.806], [0.250, 0.806, 0.250], [0.750, 0.194, 0.750], [0.750, 0.750, 0.194], [0.786, 0.786, 0.786], [0.806, 0.250, 0.250], [0.500, 0.500, 0.500]]}


Entry 12:
{"formula": "CeZnGaAu", "functional": "GGA-PBE", "state": "optimized geometry", "total_energy_ev_per_atom": -3.832, "lattice_angstrom": [[-2.431, 2.431, 3.447], [2.431, -2.431, 3.447], [2.431, 2.431, -3.447]], "species": ["Ce", "Zn", "Ga", "Au"], "frac_coords": [[0.000, 0.000, 0.000], [0.750, 0.250, 0.500], [0.500, 0.500, 0.000], [0.250, 0.750, 0.500]]}


Entry 13:
{"formula": "Tb2GaCo2Ni5", "functional": "GGA-PBE", "state": "optimized geometry", "total_energy_ev_per_atom": -5.763, "lattice_angstrom": [[8.776, 0.000, 0.000], [0.000, 8.776, 0.000], [0.000, 0.000, 3.739]], "species": ["Tb", "Tb", "Tb", "Tb", "Ga", "Ga", "Co", "Co", "Co", "Co", "Ni", "Ni", "Ni", "Ni", "Ni", "Ni", "Ni", "Ni", "Ni", "Ni"], "frac_coords": [[0.178, 0.322, 0.000], [0.322, 0.822, 0.000], [0.678, 0.178, 0.000], [0.822, 0.678, 0.000], [0.000, 0.000, 0.000], [0.500, 0.500, 0.000], [0.120, 0.620, 0.000], [0.380, 0.120, 0.000], [0.620, 0.880, 0.000], [0.880, 0.380, 0.000], [0.000, 0.500, 0.500], [0.062, 0.793, 0.500], [0.207, 0.062, 0.500], [0.293, 0.562, 0.500], [0.438, 0.293, 0.500], [0.500, 0.000, 0.500], [0.562, 0.707, 0.500], [0.707, 0.438, 0.500], [0.793, 0.938, 0.500], [0.938, 0.207, 0.500]]}


Entry 14:
{"formula": "Tl3Ag2Se3", "functional": "GGA-PBE", "state": "optimized geometry", "formation_energy_uncorrected_mev_per_atom": -214, "lattice_angstrom": [[2.288, -6.155, 0.000], [2.288, 6.155, 0.000], [0.000, 0.000, 15.462]], "species": ["Tl", "Tl", "Tl", "Tl", "Tl", "Tl", "Ag", "Ag", "Ag", "Ag", "Se", "Se", "Se", "Se", "Se", "Se"], "frac_coords": [[0.089, 0.911, 0.624], [0.089, 0.911, 0.876], [0.391, 0.609, 0.750], [0.609, 0.391, 0.250], [0.911, 0.089, 0.124], [0.911, 0.089, 0.376], [0.204, 0.796, 0.085], [0.204, 0.796, 0.415], [0.796, 0.204, 0.585], [0.796, 0.204, 0.915], [0.282, 0.718, 0.250], [0.383, 0.617, 0.527], [0.383, 0.617, 0.973], [0.617, 0.383, 0.027], [0.617, 0.383, 0.473], [0.718, 0.282, 0.750]]}


Entry 15:
{"formula": "CaReSb2", "functional": "GGA-PBE", "state": "optimized geometry", "formation_energy_uncorrected_mev_per_atom": 192, "lattice_angstrom": [[3.582, 0.000, 0.000], [0.000, 3.582, 0.000], [0.000, 0.000, 7.243]], "species": ["Ca", "Re", "Sb", "Sb"], "frac_coords": [[0.000, 0.000, 0.000], [0.500, 0.500, 0.299], [0.000, 0.000, 0.442], [0.500, 0.500, 0.713]]}


Entry 16:
{"formula": "KMg2In8", "functional": "GGA-PBE", "state": "optimized geometry", "total_energy_ev_per_atom": -2.253, "lattice_angstrom": [[6.087, 0.000, 0.000], [0.000, 6.087, 0.000], [0.000, 0.000, 10.841]], "species": ["K", "Mg", "Mg", "In", "In", "In", "In", "In", "In", "In", "In"], "frac_coords": [[0.000, 0.000, 0.000], [0.000, 0.500, 0.500], [0.500, 0.000, 0.500], [0.251, 0.251, 0.292], [0.251, 0.251, 0.708], [0.251, 0.749, 0.292], [0.251, 0.749, 0.708], [0.749, 0.251, 0.292], [0.749, 0.251, 0.708], [0.749, 0.749, 0.292], [0.749, 0.749, 0.708]]}


Entry 17:
{"formula": "Cr2TcSe", "functional": "GGA-PBE", "state": "optimized geometry", "formation_energy_uncorrected_mev_per_atom": 205, "lattice_angstrom": [[4.349, -1.495, 0.000], [4.349, 1.495, 0.000], [-1.199, 0.000, 4.325]], "species": ["Cr", "Cr", "Tc", "Se"], "frac_coords": [[0.000, 0.000, 0.000], [0.735, 0.735, 0.125], [0.507, 0.507, 0.508], [0.247, 0.247, 0.654]]}


Entry 18:
{"formula": "MgMn2CdC", "functional": "GGA-PBE", "state": "optimized geometry", "total_energy_ev_per_atom": -5.890, "lattice_angstrom": [[3.916, 0.000, 0.000], [0.000, 3.916, 0.000], [0.000, 0.000, 4.393]], "species": ["Mg", "Mn", "Mn", "Cd", "C"], "frac_coords": [[0.000, 0.000, 0.000], [0.000, 0.500, 0.500], [0.500, 0.000, 0.500], [0.500, 0.500, 0.000], [0.000, 0.000, 0.500]]}


Entry 19:
{"formula": "HoZrRh2", "functional": "GGA-PBE", "state": "optimized geometry", "total_energy_ev_per_atom": -7.803, "lattice_angstrom": [[3.333, 0.000, 0.000], [0.000, 3.333, 0.000], [0.000, 0.000, 6.836]], "species": ["Ho", "Zr", "Rh", "Rh"], "frac_coords": [[0.000, 0.000, 0.000], [0.000, 0.000, 0.500], [0.500, 0.500, 0.270], [0.500, 0.500, 0.730]]}


Entry 20:
{"formula": "SrSiCl", "functional": "GGA-PBE", "state": "optimized geometry", "formation_energy_uncorrected_mev_per_atom": -437, "lattice_angstrom": [[3.995, 0.000, 0.000], [-1.998, 3.460, 0.000], [0.000, 0.000, 7.880]], "species": ["Sr", "Si", "Cl"], "frac_coords": [[0.000, 0.000, 0.000], [0.333, 0.667, 0.703], [0.667, 0.333, 0.210]]}


Entry 21:
{"formula": "ScAlN2", "functional": "GGA-PBE", "state": "optimized geometry", "formation_energy_uncorrected_mev_per_atom": -1503, "lattice_angstrom": [[5.789, 0.000, 0.000], [0.000, 6.804, 0.000], [0.000, 0.000, 5.015]], "species": ["Sc", "Sc", "Sc", "Sc", "Al", "Al", "Al", "Al", "N", "N", "N", "N", "N", "N", "N", "N"], "frac_coords": [[0.093, 0.124, 0.000], [0.407, 0.624, 0.500], [0.593, 0.376, 0.000], [0.907, 0.876, 0.500], [0.076, 0.626, 0.017], [0.424, 0.126, 0.517], [0.576, 0.874, 0.017], [0.924, 0.374, 0.517], [0.060, 0.610, 0.396], [0.099, 0.141, 0.431], [0.401, 0.641, 0.931], [0.440, 0.110, 0.896], [0.560, 0.890, 0.396], [0.599, 0.359, 0.431], [0.901, 0.859, 0.931], [0.940, 0.390, 0.896]]}


Entry 22:
{"formula": "Dy2AlPb", "functional": "GGA-PBE", "state": "optimized geometry", "total_energy_ev_per_atom": -4.228, "lattice_angstrom": [[1.769, 1.021, 10.821], [-1.769, 1.021, 10.821], [0.000, -2.043, 10.821]], "species": ["Dy", "Dy", "Al", "Pb"], "frac_coords": [[0.098, 0.098, 0.098], [0.902, 0.902, 0.902], [0.500, 0.500, 0.500], [0.000, 0.000, 0.000]]}


Entry 23:
{"formula": "MnNiIr2", "functional": "GGA-PBE", "state": "optimized geometry", "total_energy_ev_per_atom": -8.235, "lattice_angstrom": [[2.693, -3.562, 0.000], [2.693, 3.562, 0.000], [0.000, 0.000, 2.753]], "species": ["Mn", "Ni", "Ir", "Ir"], "frac_coords": [[0.000, 0.000, 0.000], [0.500, 0.500, 0.000], [0.000, 0.500, 0.500], [0.500, 0.000, 0.500]]}